(1)
## NdPd4 (GGA-PBE)

Data for a geometry-optimized NdPd4 structure.

The structure belongs to space group Pm-3m (No. 221); the cell edges are 5.085, 5.085 and 5.085 Å and the angles 90.00°, 90.00° and 90.00°. Symmetry generates all atoms from Nd at (0.000, 0.000, 0.000), Pd at (0.000, 0.000, 0.500) and Pd at (0.500, 0.500, 0.500).

The density is 7.20 g cm⁻³. The formation energy is 0.854 eV per atom. The calculation puts the calculated volume at 131.5 Å³/f.u. The raw total energy is -4.2537 eV per atom.


(2)
## Nd13Pd2 (GGA-PBE)

Data for a geometry-optimized Nd13Pd2 structure.

The structure belongs to space group P-1 (No. 2); the cell edges are 6.761, 8.588 and 9.525 Å and the angles 64.08°, 81.58° and 80.57°. Symmetry generates all atoms from Nd at (0.000, 0.000, 0.000), Nd at (0.025, 0.206, 0.339), Nd at (0.179, 0.645, 0.365), Nd at (0.242, 0.579, 0.023), Nd at (0.288, 0.363, 0.778), Nd at (0.447, 0.054, 0.158), Nd at (0.498, 0.766, 0.566) and Pd at (0.176, 0.068, 0.674).

The density is 7.09 g cm⁻³. The formation energy is -0.149 eV per atom. The calculation puts the calculated volume at 489.0 Å³/f.u. The raw total energy is -4.9735 eV per atom.


(3)
## Nd5Pd (GGA-PBE)

Data for a geometry-optimized Nd5Pd structure.

The structure belongs to space group Cmmm (No. 65); the cell edges are 3.738, 17.169 and 5.784 Å and the angles 90.00°, 90.00° and 90.00°. Symmetry generates all atoms from Nd at (0.000, 0.000, 0.000), Nd at (0.000, 0.142, 0.500), Nd at (0.000, 0.333, 0.000) and Pd at (0.000, 0.500, 0.500).

The density is 7.41 g cm⁻³. The formation energy is -0.106 eV per atom. The calculation puts the calculated volume at 185.6 Å³/f.u. The raw total energy is -4.9447 eV per atom.


(4)
## NdPd4 (GGA-PBE)

Data for a geometry-optimized NdPd4 structure.

The structure belongs to space group Imma (No. 74); the cell edges are 4.442, 5.869 and 13.982 Å and the angles 90.00°, 90.00° and 90.00°. Symmetry generates all atoms from Nd at (0.000, 0.250, 0.108), Pd at (0.000, 0.000, 0.500), Pd at (0.000, 0.018, 0.696) and Pd at (0.000, 0.250, 0.889).

The density is 10.39 g cm⁻³. The formation energy is -0.590 eV per atom. The calculation puts the calculated volume at 91.1 Å³/f.u. The raw total energy is -5.6976 eV per atom.


(5)
## Nd6Pd5 (GGA-PBE)

Data for a geometry-optimized Nd6Pd5 structure.

The structure belongs to space group C2/m (No. 12); the cell edges are 7.303, 12.463 and 7.315 Å and the angles 90.00°, 107.97° and 90.00°. Symmetry generates all atoms from Nd at (0.231, 0.000, 0.238), Nd at (0.234, 0.175, 0.734), Pd at (0.000, 0.000, 0.500), Pd at (0.000, 0.173, 0.000) and Pd at (0.000, 0.347, 0.500).

The density is 7.33 g cm⁻³. The formation energy is -0.606 eV per atom. The calculation puts the calculated volume at 316.6 Å³/f.u. The raw total energy is -5.5665 eV per atom.


(6)
## NdPd4 (GGA-PBE)

Data for a geometry-optimized NdPd4 structure.

The structure belongs to space group I-43m (No. 217); the cell edges are 9.212, 9.212 and 9.212 Å and the angles 90.00°, 90.00° and 90.00°. Symmetry generates all atoms from Nd at (0.221, 0.221, 0.779), Pd at (0.000, 0.000, 0.349), Pd at (0.000, 0.250, 0.500) and Pd at (0.106, 0.106, 0.106).

The density is 9.69 g cm⁻³. The formation energy is -0.466 eV per atom. The calculation puts the calculated volume at 97.7 Å³/f.u. The raw total energy is -5.5741 eV per atom.


(7)
## Nd2Pd (GGA-PBE)

Data for a geometry-optimized Nd2Pd structure.

The structure belongs to space group Pbcn (No. 60); the cell edges are 7.096, 7.333 and 7.218 Å and the angles 90.00°, 90.00° and 90.00°. Symmetry generates all atoms from Nd at (0.246, 0.063, 0.044) and Pd at (0.000, 0.208, 0.750).

The density is 6.98 g cm⁻³. The formation energy is -0.376 eV per atom. The calculation puts the calculated volume at 93.9 Å³/f.u. The raw total energy is -5.2851 eV per atom.


(8)
## Pm3Nd4Pd4 (GGA-PBE)

Data for a geometry-optimized Pm3Nd4Pd4 structure.

The structure belongs to space group Immm (No. 71); the cell edges are 4.879, 7.709 and 15.959 Å and the angles 90.00°, 90.00° and 90.00°. Symmetry generates all atoms from Pm at (0.000, 0.000, 0.000), Pm at (0.000, 0.500, 0.099), Nd at (0.000, 0.280, 0.330), Pd at (0.000, 0.000, 0.201) and Pd at (0.000, 0.181, 0.500).

The density is 7.95 g cm⁻³. The formation energy is -0.484 eV per atom. The calculation puts the calculated volume at 300.1 Å³/f.u. The raw total energy is -5.4017 eV per atom.